Compound: TmMgPdPb
Source: Alexandria via LeMat-Bulk
Functional: GGA-PBE
Structure: optimized geometry

Its size of the total moment is 0.000 μB/f.u.

The structure belongs to space group F-43m (No. 216); the cell edges are 7.0529, 7.0529 and 7.0529 Å and the angles 90.00°, 90.00° and 90.00°. The inequivalent atoms are Tm at (0.0000, 0.0000, 0.0000), Mg at (0.0000, 0.0000, 0.5000), Pd at (0.2500, 0.2500, 0.2500) and Pb at (0.2500, 0.2500, 0.7500).

=====

Compound: Mg2VPdPb
Source: Alexandria via LeMat-Bulk
Functional: GGA-PBE
Structure: optimized geometry

Its size of the total moment is 0.597 μB/f.u.

The structure belongs to space group P4/mmm (No. 123); the cell edges are 5.2570, 5.2570 and 5.0921 Å and the angles 90.00°, 90.00° and 90.00°. The inequivalent atoms are Mg at (0.0000, 0.5000, 0.0000), V at (0.0000, 0.0000, 0.5000), Pd at (0.5000, 0.5000, 0.5000) and Pb at (0.5000, 0.5000, 0.0000).

=====

Compound: YMgPdPb
Source: Alexandria via LeMat-Bulk
Functional: GGA-PBE
Structure: optimized geometry

Its size of the total moment is 0.000 μB/f.u.

The structure belongs to space group F-43m (No. 216); the cell edges are 7.1114, 7.1114 and 7.1114 Å and the angles 90.00°, 90.00° and 90.00°. The inequivalent atoms are Y at (0.0000, 0.0000, 0.0000), Mg at (0.0000, 0.0000, 0.5000), Pd at (0.2500, 0.2500, 0.2500) and Pb at (0.2500, 0.2500, 0.7500).

=====

Results for DOS at the Fermi energy: 0.706; 1.294; 0.529 (in states/eV/atom, following the order of the records).
Results for ΔH_f (0 K): -487; 1195; -505 (in meV per atom, following the order of the records).
Results for raw total energy: -4.23; -3.05; -4.74 (in eV per atom, following the order of the records).